Entry 1:
A geometry-optimized ZrAl2Ni structure. Source: Alexandria, functional PBE-GGA.

The calculation puts the total energy at -45.254 eV for the cell shown. The calculation puts the total magnetization at 0.00 μB/f.u.

It has space group C2/m (No. 12), with a = 5.5475 Å, b = 8.5778 Å, c = 2.7930 Å, α = 90.00°, β = 92.11° and γ = 90.00°. The distinct sites, in fractional coordinates, are Zr at (0.0000, 0.0000, 0.0000), Al at (0.2500, 0.2500, 0.5000) and Ni at (0.0000, 0.5000, 0.0000).

Entry 2:
A geometry-optimized Zr2AlNi2 structure. Source: Alexandria, functional PBE-GGA.

The calculation puts the total energy at -66.668 eV for the cell shown. The calculation puts the total magnetization at 0.00 μB/f.u.

It has space group I4/mmm (No. 139), with a = 5.0155 Å, b = 5.0155 Å, c = 7.0926 Å, α = 90.00°, β = 90.00° and γ = 90.00°. The distinct sites, in fractional coordinates, are Zr at (0.0000, 0.5000, 0.2500), Al at (0.0000, 0.0000, 0.0000) and Ni at (0.0000, 0.0000, 0.3478).

Entry 3:
A geometry-optimized ZrAlNi5 structure. Source: Alexandria, functional PBE-GGA.

The calculation puts the total energy at -43.278 eV for the cell shown. The calculation puts the total magnetization at 0.00 μB/f.u.

It has space group P4/mmm (No. 123), with a = 3.7558 Å, b = 3.7558 Å, c = 6.6548 Å, α = 90.00°, β = 90.00° and γ = 90.00°. The distinct sites, in fractional coordinates, are Zr at (0.0000, 0.0000, 0.0000), Al at (0.5000, 0.5000, 0.5000), Ni at (0.0000, 0.5000, 0.2810) and Ni at (0.5000, 0.5000, 0.0000).

Entry 4:
A geometry-optimized ZrAlNi2 structure. Source: Alexandria, functional PBE-GGA.

The calculation puts the total energy at -24.443 eV for the cell shown. The calculation puts the total magnetization at 0.00 μB/f.u.

It has space group P-3m1 (No. 164), with a = 3.4936 Å, b = 3.4936 Å, c = 6.1981 Å, α = 90.00°, β = 90.00° and γ = 120.00°. The distinct sites, in fractional coordinates, are Zr at (0.0000, 0.0000, 0.0000), Al at (0.0000, 0.0000, 0.5000) and Ni at (0.3333, 0.6667, 0.2853).

Entry 5:
A geometry-optimized Zr2AlNi structure. Source: Alexandria, functional PBE-GGA.

The calculation puts the total energy at -27.015 eV for the cell shown. The calculation puts the total magnetization at 0.00 μB/f.u.

It has space group P-3m1 (No. 164), with a = 3.8966 Å, b = 3.8966 Å, c = 6.0748 Å, α = 90.00°, β = 90.00° and γ = 120.00°. The distinct sites, in fractional coordinates, are Zr at (0.3333, 0.6667, 0.2824), Al at (0.0000, 0.0000, 0.0000) and Ni at (0.0000, 0.0000, 0.5000).

Entry 6:
A geometry-optimized ZrAl2Ni4 structure. Source: Alexandria, functional PBE-GGA.

The calculation puts the total energy at -41.229 eV for the cell shown. The calculation puts the total magnetization at 0.00 μB/f.u.

It has space group P3m1 (No. 156), with a = 3.9640 Å, b = 3.9640 Å, c = 7.7016 Å, α = 90.00°, β = 90.00° and γ = 120.00°. The distinct sites, in fractional coordinates, are Zr at (0.0000, 0.0000, 0.0000), Al at (0.3333, 0.6667, 0.7200), Al at (0.6667, 0.3333, 0.4822), Ni at (0.0000, 0.0000, 0.3279), Ni at (0.0000, 0.0000, 0.6398), Ni at (0.6667, 0.3333, 0.1664) and Ni at (0.6667, 0.3333, 0.8141).

Number 1: calculated formation energy -203 meV/atom. Number 2: calculated formation energy -186 meV/atom. Number 3: calculated formation energy -297 meV/atom. Number 4: calculated formation energy -147 meV/atom. Number 5: calculated formation energy -99 meV/atom. Number 6: calculated formation energy -296 meV/atom.